First-principles (PBE) data for a relaxed Pm2Sc2Br7 crystal, as listed in Alexandria.

The structure in POSCAR format:
```
Pm2Sc2Br7
1.0
4.165 -6.097 0.000
4.165 6.097 0.000
-0.037 0.000 7.566
Pm Sc Br
2 2 7
Direct
0.145 0.855 0.000
0.855 0.145 0.000
0.219 0.219 0.333
0.781 0.781 0.667
0.072 0.484 0.231
0.109 0.109 0.695
0.484 0.072 0.231
0.500 0.500 0.500
0.516 0.928 0.769
0.891 0.891 0.305
0.928 0.516 0.769
```

calculated volume: 384.2 Å³/cell
energy relative to the elements, uncorrected: -14.71 eV/f.u.
crystal system: monoclinic

First-principles (PBE) data for a relaxed PmScBr6 crystal, as listed in Alexandria.

The structure in POSCAR format:
```
PmScBr6
1.0
3.439 -6.709 0.000
3.439 6.709 0.000
-2.032 0.000 6.562
Pm Sc Br
1 1 6
Direct
0.000 0.000 0.000
0.500 0.500 0.500
0.128 0.410 0.268
0.258 0.258 0.741
0.410 0.128 0.268
0.590 0.872 0.732
0.742 0.742 0.259
0.872 0.590 0.732
```

calculated volume: 302.8 Å³/cell
energy relative to the elements, uncorrected: -13.96 eV/f.u.
crystal system: monoclinic

First-principles (PBE) data for a relaxed Pm2SeBr crystal, as listed in Alexandria.

The structure in POSCAR format:
```
Pm2SeBr
1.0
1.990 1.149 7.965
-1.990 1.149 7.965
0.000 -2.298 7.965
Pm Se Br
2 1 1
Direct
0.000 0.000 0.000
0.188 0.188 0.188
0.593 0.593 0.593
0.427 0.427 0.427
```

calculated volume: 109.3 Å³/cell
energy relative to the elements, uncorrected: -5.74 eV/f.u.
polymorph energy (0 for the lowest one): 0.006 eV per atom
crystal system: trigonal

First-principles (PBE) data for a relaxed Pm2SeBr crystal, as listed in Alexandria.

The structure in POSCAR format:
```
Pm2SeBr
1.0
4.053 -2.353 0.000
4.053 2.353 0.000
-2.689 0.000 7.619
Pm Se Br
2 1 1
Direct
0.000 0.000 0.000
0.549 0.549 0.646
0.865 0.865 0.592
0.407 0.407 0.221
```

calculated volume: 145.3 Å³/cell
energy relative to the elements, uncorrected: -4.47 eV/f.u.
polymorph energy (0 for the lowest one): 0.326 eV per atom
crystal system: monoclinic

First-principles (PBE) data for a relaxed PmSeBr crystal, as listed in Alexandria.

The structure in POSCAR format:
```
PmSeBr
1.0
4.306 0.000 0.000
-2.153 3.729 0.000
0.000 0.000 6.818
Pm Se Br
1 1 1
Direct
0.000 0.000 0.000
0.667 0.333 0.798
0.333 0.667 0.263
```

calculated volume: 109.5 Å³/cell
energy relative to the elements, uncorrected: -5.47 eV/f.u.
polymorph energy (0 for the lowest one): 0.050 eV per atom
crystal system: trigonal

First-principles (PBE) data for a relaxed Pm2SeBr3 crystal, as listed in Alexandria.

The structure in POSCAR format:
```
Pm2SeBr3
1.0
10.910 0.000 0.000
0.000 4.124 0.000
-4.786 0.000 10.426
Pm Se Br
4 2 6
Direct
0.028 0.250 0.333
0.198 0.250 0.114
0.802 0.750 0.886
0.972 0.750 0.667
0.021 0.750 0.152
0.979 0.250 0.848
0.152 0.250 0.622
0.314 0.250 0.390
0.343 0.750 0.044
0.657 0.250 0.956
0.686 0.750 0.610
0.848 0.750 0.378
```

calculated volume: 469.0 Å³/cell
energy relative to the elements, uncorrected: -10.61 eV/f.u.
polymorph energy (0 for the lowest one): 0.000 eV per atom
crystal system: monoclinic

Q: Which of these has the highest calculated volume?
A: Pm2SeBr3

Q: Look up the calculated volume of the first one.
A: 384.2 Å³/cell

Q: Which value of energy relative to the elements, uncorrected does entry 5 give?
A: -5.47 eV/f.u.

Q: Number 6 is which compound?
A: Pm2SeBr3